# Rb2ReOF5 | Alexandria | PBE-GGA | relaxed
# crystal system	tetragonal
# VASP energy	-99.979	eV for the cell shown
# total moment	0.0	Bohr magnetons per cell
# formation energy (no corrections)	-2.366	eV/atom
# V	19.38	Å³/atom
data_Rb2ReOF5
_cell_length_a 6.4653
_cell_length_b 6.4653
_cell_length_c 8.3437
_cell_angle_alpha 90.00
_cell_angle_beta 90.00
_cell_angle_gamma 90.00
_symmetry_space_group_name_H-M 'I 4 m m'
_symmetry_Int_Tables_number 107
_symmetry_space_group_name_Hall 'I 4 -2'
loop_
_atom_site_label
_atom_site_type_symbol
_atom_site_fract_x
_atom_site_fract_y
_atom_site_fract_z
_atom_site_occupancy
Rb1 Rb 0.0000 0.5000 0.0000 1
Re1 Re 0.0000 0.0000 0.2353 1
O1 O 0.0000 0.0000 0.0299 1
F1 F 0.0000 0.0000 0.4725 1
F2 F 0.2190 0.2190 0.2621 1